Here is a relaxed Pm8Sm3Ho4 crystal from the Alexandria database. Energies are from PBE.

Properties
Energy of formation from the pure elements   5.1 eV per formula unit
SG   C2/m
Magnetization   0.00 μB/cell
VASP energy   -4.360 eV/atom

Lattice parameters (Å, degrees): 9.2342 9.2342 6.8902 111.12 111.12 82.68
Sites, in units of the cell vectors:
Pm  0.2041  0.2041  0.1814
Pm  0.2045  0.7955  0.0000
Pm  0.2529  0.7471  0.5000
Pm  0.2540  0.2540  0.7186
Pm  0.7460  0.7460  0.2814
Pm  0.7471  0.2529  0.5000
Pm  0.7955  0.2045  0.0000
Pm  0.7959  0.7959  0.8186
Sm  0.0000  0.0000  0.5000
Sm  0.0000  0.5000  0.0000
Sm  0.5000  0.0000  0.0000
Ho  0.0000  0.5000  0.5000
Ho  0.5000  0.0000  0.5000
Ho  0.5000  0.5000  0.0000
Ho  0.5000  0.5000  0.5000